The following is a DFT calculation (PBE-GGA) of a relaxed structure of TcS.

density of states at the Fermi level: 1.87 states/eV per cell
E_tot: -14.8 eV/f.u.
volume: 17.5 Å³/atom

abc: 3.284 3.723 5.732
angles: 90.00 90.00 90.00
Element x y z (fractional)
Tc1 0.000 0.000 0.000
Tc2 0.500 0.500 0.500
S1 0.000 0.500 0.224
S2 0.500 0.000 0.724

=====

The following is a DFT calculation (PBE-GGA) of a relaxed structure of Zn4CoP.

density of states at the Fermi level: 1.30 states/eV per cell
formation enthalpy at 0 K: 319 meV/atom
volume: 14.3 Å³/atom

abc: 4.950 4.950 4.950
angles: 60.00 60.00 60.00
Element x y z (fractional)
Zn1 0.124 0.124 0.124
Zn2 0.124 0.124 0.627
Zn3 0.124 0.627 0.124
Zn4 0.627 0.124 0.124
Co1 0.750 0.750 0.750
P1 0.500 0.500 0.500

=====

The following is a DFT calculation (PBE-GGA) of a relaxed structure of Ta2TcSe.

density of states at the Fermi level: 2.85 states/eV per cell
E_tot: -37.9 eV/f.u.
volume: 17.1 Å³/atom

abc: 3.243 3.243 6.516
angles: 90.00 90.00 90.00
Element x y z (fractional)
Ta1 0.000 0.000 0.000
Ta2 0.500 0.500 0.294
Tc1 0.000 0.000 0.499
Se1 0.500 0.500 0.791

=====

The following is a DFT calculation (PBE-GGA) of a relaxed structure of Li2Au3.

density of states at the Fermi level: 1.43 states/eV per cell
formation enthalpy at 0 K: -333 meV/atom
volume: 16.8 Å³/atom

abc: 4.275 4.275 5.307
angles: 90.00 90.00 120.00
Element x y z (fractional)
Li1 0.333 0.667 0.331
Li2 0.667 0.333 0.669
Au1 0.000 0.000 0.500
Au2 0.333 0.667 0.840
Au3 0.667 0.333 0.160

=====

The following is a DFT calculation (PBE-GGA) of a relaxed structure of PmMg2P.

density of states at the Fermi level: 2.04 states/eV per cell
formation enthalpy at 0 K: -451 meV/atom
volume: 22.4 Å³/atom

abc: 4.213 4.213 5.040
angles: 90.00 90.00 90.00
Element x y z (fractional)
Pm1 0.000 0.000 0.000
Mg1 0.000 0.500 0.500
Mg2 0.500 0.000 0.500
P1 0.500 0.500 0.000

=====

The following is a DFT calculation (PBE-GGA) of a relaxed structure of AcSb4Pd6.

density of states at the Fermi level: 5.66 states/eV per cell
E_tot: -58.3 eV/f.u.
volume: 20.6 Å³/atom

abc: 7.746 7.746 4.354
angles: 90.00 90.00 120.00
Element x y z (fractional)
Ac1 0.000 0.000 0.000
Sb1 0.333 0.667 0.000
Sb2 0.386 0.193 0.500
Sb3 0.807 0.193 0.500
Sb4 0.807 0.614 0.500
Pd1 0.204 0.408 0.500
Pd2 0.204 0.796 0.500
Pd3 0.539 0.077 0.000
Pd4 0.539 0.461 0.000
Pd5 0.592 0.796 0.500
Pd6 0.923 0.461 0.000

=====

The following is a DFT calculation (PBE-GGA) of a relaxed structure of LiTbCuGe.

density of states at the Fermi level: 7.76 states/eV per cell
formation enthalpy at 0 K: -386 meV/atom
volume: 18.6 Å³/atom

abc: 6.672 6.672 6.672
angles: 90.00 90.00 90.00
Element x y z (fractional)
Li1 0.000 0.000 0.000
Li2 0.000 0.500 0.500
Li3 0.500 0.000 0.500
Li4 0.500 0.500 0.000
Tb1 0.000 0.000 0.500
Tb2 0.000 0.500 0.000
Tb3 0.500 0.000 0.000
Tb4 0.500 0.500 0.500
Cu1 0.250 0.250 0.250
Cu2 0.250 0.750 0.750
Cu3 0.750 0.250 0.750
Cu4 0.750 0.750 0.250
Ge1 0.250 0.250 0.750
Ge2 0.250 0.750 0.250
Ge3 0.750 0.250 0.250
Ge4 0.750 0.750 0.750